(1)
First-principles (PBE-GGA) data for an optimized crystal structure of La3Nd4Sm, as listed in the Alexandria database.

Unit cell a=10.5032 b=7.3743 c=7.3703 alpha=90.00 beta=90.00 gamma=90.00
Closest atoms and distances in Å follow each position.
Fractional coordinates of all 16 atoms:
La1 0.0000 0.0000 0.0000  8 Nd 3.69-3.70, 4 La 3.71
La2 0.2500 0.2517 0.2500  8 Nd 3.67-3.71, 2 Sm 3.69, 2 La 3.71
La3 0.2500 0.7483 0.7500  8 Nd 3.67-3.71, 2 Sm 3.69, 2 La 3.71
La4 0.5000 0.0000 0.5000  8 Nd 3.69-3.70, 4 La 3.71
La5 0.7500 0.2517 0.2500  8 Nd 3.67-3.71, 2 Sm 3.69, 2 La 3.71
La6 0.7500 0.7483 0.7500  8 Nd 3.67-3.71, 2 Sm 3.69, 2 La 3.71
Nd1 0.0000 0.0000 0.5000  6 La 3.69-3.71, 2 Sm 3.69, 4 Nd 3.70
Nd2 0.0000 0.5000 0.0000  2 Sm 3.69, 6 La 3.69, 4 Nd 3.70
Nd3 0.2500 0.2511 0.7500  6 La 3.67-3.71, 4 Nd 3.70, 2 Sm 3.70
Nd4 0.2500 0.7489 0.2500  6 La 3.67-3.71, 4 Nd 3.70, 2 Sm 3.70
Nd5 0.5000 0.0000 0.0000  6 La 3.69-3.71, 2 Sm 3.69, 4 Nd 3.70
Nd6 0.5000 0.5000 0.5000  2 Sm 3.69, 6 La 3.69, 4 Nd 3.70
Nd7 0.7500 0.2511 0.7500  6 La 3.67-3.71, 4 Nd 3.70, 2 Sm 3.70
Nd8 0.7500 0.7489 0.2500  6 La 3.67-3.71, 4 Nd 3.70, 2 Sm 3.70
Sm1 0.0000 0.5000 0.5000  8 Nd 3.69-3.70, 4 La 3.69
Sm2 0.5000 0.5000 0.0000  8 Nd 3.69-3.70, 4 La 3.69

- SG = Pmna, No. 53
- DFT formation energy (eV per formula unit) = 0.105
- ρ (g/cm3) = 6.7
- calculated total energy (eV/f.u.) = -38.47
- total moment (Bohr magnetons per cell) = 0.00


(2)
First-principles (PBE-GGA) data for an optimized crystal structure of LaNd3Sm3, as listed in the Alexandria database.

Unit cell a=8.9035 b=8.9035 c=8.9035 alpha=60.44 beta=60.44 gamma=60.44
Closest atoms and distances in Å follow each position.
Fractional coordinates of all 14 atoms:
La1 0.1402 0.1402 0.1402  3 Nd 3.51, 6 Sm 3.74-3.88
La2 0.8598 0.8598 0.8598  3 Nd 3.51, 6 Sm 3.74-3.88
Nd1 0.2054 0.6858 0.4379  2 Nd 3.28, 3 Sm 3.32-3.44, 1 La 3.51
Nd2 0.3142 0.5621 0.7946  2 Nd 3.28, 3 Sm 3.32-3.44, 1 La 3.51
Nd3 0.4379 0.2054 0.6858  2 Nd 3.28, 3 Sm 3.32-3.44, 1 La 3.51
Nd4 0.5621 0.7946 0.3142  2 Nd 3.28, 3 Sm 3.32-3.44, 1 La 3.51
Nd5 0.6858 0.4379 0.2054  2 Nd 3.28, 3 Sm 3.32-3.44, 1 La 3.51
Nd6 0.7946 0.3142 0.5621  2 Nd 3.28, 3 Sm 3.32-3.44, 1 La 3.51
Sm1 0.0665 0.5577 0.2333  3 Nd 3.32-3.44
Sm2 0.2333 0.0665 0.5577  3 Nd 3.32-3.44
Sm3 0.4423 0.7667 0.9335  3 Nd 3.32-3.44
Sm4 0.5577 0.2333 0.0665  3 Nd 3.32-3.44
Sm5 0.7667 0.9335 0.4423  3 Nd 3.32-3.44
Sm6 0.9335 0.4423 0.7667  3 Nd 3.32-3.44

- SG = R-3, No. 148
- DFT formation energy (eV per formula unit) = 1.486
- ρ (g/cm3) = 6.7
- calculated total energy (eV/f.u.) = -31.90
- total moment (Bohr magnetons per cell) = 0.00